Below is crystalline CaPbO at its relaxed geometry, with properties calculated at the PBE level.

Properties
- Energy relative to the elements, uncorrected: -1.7199 eV/atom

Lattice parameters (Å, degrees): 3.826 3.826 12.025 80.85 80.85 60.00
Element x y z (fractional)
Ca (0.632, 0.632, 0.104)
Ca (0.368, 0.368, 0.896)
O (0.301, 0.301, 0.098)
O (0.699, 0.699, 0.902)
Pb (0.869, 0.869, 0.392)
Pb (0.131, 0.131, 0.608)


Below is crystalline CsCuSiAu2 at its relaxed geometry, with properties calculated at the PBE level.

Properties
- Energy relative to the elements, uncorrected: 1.9163 eV/atom

Lattice parameters (Å, degrees): 6.070 6.250 6.070 90.00 90.00 90.00
Last column: magnetic moment on the atom in μB.
Element x y z (fractional)
Cs (0.000, 0.000, 0.000)  0.03
Si (0.000, 0.500, 0.000)  0.46
Au (0.000, 0.000, 0.500)  -0.01
Au (0.500, 0.000, 0.000)  -0.01
Cu (0.500, 0.500, 0.500)  -0.04


Below is crystalline ZnHgMo2 at its relaxed geometry, with properties calculated at the PBE level.

Properties
- Energy relative to the elements: 0.420 eV per atom

Lattice parameters (Å, degrees): 2.738 4.248 5.822 90.00 90.00 90.00
Element x y z (fractional)
Hg (0.500, 0.500, 0.741)
Mo (0.000, 0.000, 0.027)
Mo (0.500, 0.500, 0.242)
Zn (0.000, 0.000, 0.490)


Below is crystalline PaMnGeRu at its relaxed geometry, with properties calculated at the PBE level.

Properties
- Energy relative to the elements: -0.228 eV per atom

Lattice parameters (Å, degrees): 4.540 4.540 4.540 60.00 60.00 60.00
Element x y z (fractional)
Ru (0.000, 0.000, 0.000)
Ge (0.250, 0.250, 0.250)
Pa (0.750, 0.750, 0.750)
Mn (0.500, 0.500, 0.500)


Below is crystalline KRb2SbBr6 at its relaxed geometry, with properties calculated at the PBE level.

Properties
- Energy relative to the elements, uncorrected: -1.2740 eV/atom

Lattice parameters (Å, degrees): 8.415 8.415 8.415 60.00 60.00 90.00
Element x y z (fractional)
Sb (0.000, 0.000, 0.000)
K (0.500, 0.500, 0.000)
Br (0.236, 0.236, 0.528)
Br (0.764, 0.764, 0.472)
Br (0.236, 0.236, 0.000)
Br (0.764, 0.764, 0.000)
Br (0.764, 0.236, 0.000)
Br (0.236, 0.764, 0.000)
Rb (0.750, 0.250, 0.500)
Rb (0.250, 0.750, 0.500)


Below is crystalline CoPIr2 at its relaxed geometry, with properties calculated at the PBE level.

Properties
- Energy relative to the elements: -0.091 eV per atom

Lattice parameters (Å, degrees): 5.731 5.731 3.721 71.06 71.06 27.93
Element x y z (fractional)
Co (0.250, 0.250, 0.250)
Ir (0.065, 0.065, 0.935)
Ir (0.435, 0.435, 0.565)
P (0.750, 0.750, 0.750)


Below is crystalline FeNi3Pt2 at its relaxed geometry, with properties calculated at the PBE level.

Properties
- Energy relative to the elements: 0.136 eV per atom

Lattice parameters (Å, degrees): 7.992 7.992 7.821 120.73 120.73 90.00
Last column: magnetic moment on the atom in μB.
Element x y z (fractional)
Fe (0.305, 0.305, 0.609)  3.24
Fe (0.695, 0.695, 0.391)  3.24
Fe (0.555, 0.055, 0.109)  3.24
Fe (0.945, 0.445, 0.891)  3.24
Ni (0.283, 0.717, 0.000)  0.76
Ni (0.125, 0.875, 0.250)  0.61
Ni (0.125, 0.375, 0.250)  0.61
Ni (0.717, 0.717, 0.000)  0.76
Ni (0.717, 0.283, 0.000)  0.76
Ni (0.967, 0.467, 0.500)  0.76
Ni (0.625, 0.875, 0.750)  0.61
Ni (0.125, 0.875, 0.750)  0.61
Ni (0.533, 0.033, 0.500)  0.76
Ni (0.533, 0.467, 0.500)  0.76
Ni (0.283, 0.283, 0.000)  0.76
Ni (0.967, 0.033, 0.500)  0.76
Pt (0.899, 0.713, 0.799)  0.35
Pt (0.351, 0.664, 0.701)  0.35
Pt (0.287, 0.101, 0.201)  0.35
Pt (0.336, 0.649, 0.299)  0.35
Pt (0.914, 0.101, 0.201)  0.35
Pt (0.963, 0.649, 0.299)  0.35
Pt (0.351, 0.037, 0.701)  0.35
Pt (0.899, 0.086, 0.799)  0.35


Below is crystalline SiOsPt3 at its relaxed geometry, with properties calculated at the PBE level.

Properties
- Energy relative to the elements, uncorrected: 1.4423 eV/atom

Lattice parameters (Å, degrees): 4.822 4.822 4.822 90.00 90.00 90.00
Element x y z (fractional)
Si (0.500, 0.500, 0.500)
Os (0.000, 0.000, 0.000)
Pt (0.000, 0.500, 0.000)
Pt (0.000, 0.000, 0.500)
Pt (0.500, 0.000, 0.000)


no.,V (Å³/cell),D(E_F) (states/eV per cell)
1,150,0.60
2,230,6.03
3,68,2.32
4,66,1.63
5,421,0.00
6,54,1.24
7,345,33.89
8,112,5.42